1.
Entry from Alexandria via LeMat-Bulk: crystalline ZnTe3Pd at its relaxed geometry (PBEsol).

Structure (extended XYZ):
```
5
Lattice="5.128 0.000 0.000 0.000 5.128 0.000 0.000 0.000 5.128" Properties=species:S:1:pos:R:3 pbc="T T T"
Zn 0.000 0.000 0.000
Te 2.564 0.000 0.000
Te 0.000 2.564 0.000
Te 0.000 0.000 2.564
Pd 2.564 2.564 2.564
```

Properties
Volume (Å³ per cell): 134.8
Size of the total moment (μB per formula unit): 0.001
E (eV/atom): -2.879
E_form (uncorrected) (meV/atom): 745
SG: No. 221



2.
Entry from Alexandria via LeMat-Bulk: crystalline AgSnTe2 at its relaxed geometry (PBEsol).

Structure (extended XYZ):
```
4
Lattice="-2.841 1.609 -2.746 0.253 -3.555 -2.345 -4.386 -2.384 3.141" Properties=species:S:1:pos:R:3 pbc="T T T"
Te -2.193 -1.192 1.571
Te -1.294 -0.973 -2.545
Ag 0.000 0.000 0.000
Sn -3.487 -2.165 -0.975
```

Properties
Volume (Å³ per cell): 107.4
Size of the total moment (μB per formula unit): 0.000
E (eV/atom): -3.763
E_form (uncorrected) (meV/atom): -107
SG: No. 123



3.
Entry from Alexandria via LeMat-Bulk: crystalline ScCd3Te at its relaxed geometry (PBEsol).

Structure (extended XYZ):
```
5
Lattice="5.434 0.000 0.000 0.000 5.434 0.000 0.000 0.000 5.434" Properties=species:S:1:pos:R:3 pbc="T T T"
Cd 0.000 2.717 0.000
Cd 2.717 0.000 0.000
Cd 0.000 0.000 2.717
Sc 2.717 2.717 2.717
Te 0.000 0.000 0.000
```

Properties
Volume (Å³ per cell): 160.4
Size of the total moment (μB per formula unit): 0.376
E (eV/atom): -2.005
E_form (uncorrected) (meV/atom): 740
SG: No. 221



4.
Entry from Alexandria via LeMat-Bulk: crystalline Cd2IrW at its relaxed geometry (PBEsol).

Structure (extended XYZ):
```
4
Lattice="2.830 0.000 0.000 -1.415 4.551 -0.001 0.000 -0.685 5.235" Properties=species:S:1:pos:R:3 pbc="T T T"
W 1.415 2.119 1.505
Cd 0.000 -0.669 5.178
Cd 0.000 1.721 3.986
Ir 0.000 4.217 2.417
```

Properties
Distance to the lowest polymorph of the same formula (meV per atom): 0
Volume (Å³ per cell): 67.4
ΔE_f (eV/atom): 0.33
Size of the total moment (μB per formula unit): 0.000
E (eV/atom): -6.176
SG: No. 8



5.
Entry from Alexandria via LeMat-Bulk: crystalline Ba2Sb2Br at its relaxed geometry (PBEsol).

Structure (extended XYZ):
```
5
Lattice="6.442 0.000 0.000 -3.221 5.969 0.036 0.000 3.444 5.444" Properties=species:S:1:pos:R:3 pbc="T T T"
Sb 3.221 2.877 1.992
Sb 0.000 6.536 3.489
Ba 0.000 3.845 1.379
Ba 3.221 5.567 4.101
Br 0.000 0.000 0.000
```

Properties
Volume (Å³ per cell): 208.6
Size of the total moment (μB per formula unit): 0.007
E (eV/atom): -3.968
E_form (uncorrected) (meV/atom): -911
SG: No. 139



6.
Entry from Alexandria via LeMat-Bulk: crystalline Sr2FeO3F at its relaxed geometry (PBEsol).

Structure (extended XYZ):
```
7
Lattice="-1.603 3.435 0.298 -2.827 -1.121 -2.284 -1.167 -3.185 6.174" Properties=species:S:1:pos:R:3 pbc="T T T"
O -1.442 -0.578 -1.098
O -4.454 -0.185 2.438
O -0.830 1.700 0.193
Fe -5.479 -0.800 4.009
F -1.205 -0.722 1.846
Sr -3.136 0.605 0.419
Sr -2.458 -1.473 3.765
```

Properties
Distance to the lowest polymorph of the same formula (meV per atom): 9
Volume (Å³ per cell): 94.1
Size of the total moment (μB per formula unit): 4.093
E (eV/atom): -6.871
E_form (uncorrected) (meV/atom): -2540
SG: No. 107



7.
Entry from Alexandria via LeMat-Bulk: crystalline YInSe2 at its relaxed geometry (PBEsol).

Structure (extended XYZ):
```
4
Lattice="-1.015 2.703 -2.938 -1.980 -2.971 -2.049 -4.935 1.293 2.894" Properties=species:S:1:pos:R:3 pbc="T T T"
Se -3.965 0.512 -1.047
Se 0.000 0.000 0.000
Y -1.497 -0.134 -2.494
In -2.467 0.646 1.447
```

Properties
Volume (Å³ per cell): 99.5
Size of the total moment (μB per formula unit): 0.000
E (eV/atom): -5.521
E_form (uncorrected) (meV/atom): -1144
SG: No. 123



8.
Entry from Alexandria via LeMat-Bulk: crystalline ZnFe2Rh at its relaxed geometry (PBEsol).

Structure (extended XYZ):
```
4
Lattice="2.931 0.000 0.000 0.000 2.931 0.000 0.000 0.000 5.731" Properties=species:S:1:pos:R:3 pbc="T T T"
Fe 1.465 1.465 1.355
Fe 0.000 0.000 0.052
Rh 0.000 0.000 2.834
Zn 1.465 1.465 4.355
```

Properties
Volume (Å³ per cell): 49.2
ΔE_f (eV/atom): -0.05
Size of the total moment (μB per formula unit): 5.690
E (eV/atom): -6.962
SG: No. 99



9.
Entry from Alexandria via LeMat-Bulk: crystalline La10Ga5Br4 at its relaxed geometry (PBEsol).

Structure (extended XYZ):
```
38
Lattice="-5.211 -6.130 0.197 6.035 -5.171 -1.272 1.769 4.304 16.358" Properties=species:S:1:pos:R:3 pbc="T T T"
La 4.744 -1.823 13.085
La 2.566 1.750 13.689
La -3.210 -4.026 9.735
La 1.919 -6.581 10.396
La 0.027 -8.747 1.592
La -1.580 -5.521 6.348
La 1.426 -2.942 1.894
La -2.152 -5.175 2.197
La 1.167 -4.055 13.388
La 4.173 -1.477 8.934
La 2.005 -3.295 6.043
La 1.507 -0.931 10.934
La 0.587 -3.702 9.239
La 4.451 -5.293 8.571
La -1.858 -1.705 6.711
La 0.674 -0.416 4.886
La -1.011 -0.483 13.993
La 3.604 -6.515 1.289
La 1.085 -6.067 4.348
La 5.803 -2.971 5.547
Ga -0.912 -5.432 11.522
Ga -3.395 -3.546 4.542
Ga 1.091 -0.673 7.910
Ga -0.641 -3.311 4.182
Ga 1.502 -6.324 7.372
Ga 5.987 -3.452 10.740
Ga -1.113 -2.665 11.786
Ga 3.706 -4.332 3.496
Ga 3.234 -3.687 11.100
Ga 3.504 -1.565 3.759
Br 0.657 -5.802 1.240
Br 2.348 -6.846 13.504
Br 1.936 -1.195 14.042
Br 1.831 -8.372 -0.965
Br -1.008 -2.929 -0.110
Br -2.311 -7.110 -0.287
Br 0.245 -0.151 1.777
Br 3.134 -4.191 -0.789
```

Properties
Volume (Å³ per cell): 1038.1
Size of the total moment (μB per formula unit): 0.000
E (eV/atom): -5.043
E_form (uncorrected) (meV/atom): -956
SG: No. 140



10.
Entry from Alexandria via LeMat-Bulk: crystalline LiLaTe at its relaxed geometry (PBEsol).

Structure (extended XYZ):
```
3
Lattice="3.825 0.000 0.000 0.000 3.825 0.000 -1.912 -1.912 5.348" Properties=species:S:1:pos:R:3 pbc="T T T"
La 0.000 0.000 0.069
Li 0.000 0.000 3.189
Te 1.912 1.912 2.090
```

Properties
Distance to the lowest polymorph of the same formula (meV per atom): 284
Volume (Å³ per cell): 78.2
Size of the total moment (μB per formula unit): 0.000
E (eV/atom): -4.398
E_form (uncorrected) (meV/atom): -785
SG: No. 107



11.
Entry from Alexandria via LeMat-Bulk: crystalline LiCaMg4 at its relaxed geometry (PBEsol).

Structure (extended XYZ):
```
6
Lattice="-0.640 5.968 0.297 -5.324 2.515 -1.205 -3.233 2.459 4.430" Properties=species:S:1:pos:R:3 pbc="T T T"
Mg -3.767 7.092 1.468
Mg -6.115 5.361 0.715
Mg -3.446 4.100 1.319
Mg -5.067 5.333 3.540
Li 0.000 0.000 0.000
Ca -6.898 8.207 2.641
```

Properties
Volume (Å³ per cell): 153.5
ΔE_f (eV/atom): -0.02
Size of the total moment (μB per formula unit): 0.000
E (eV/atom): -1.851
SG: No. 216



12.
Entry from Alexandria via LeMat-Bulk: crystalline BaLi4Cr at its relaxed geometry (PBEsol).

Structure (extended XYZ):
```
6
Lattice="-2.852 4.808 -1.826 -2.354 0.155 -5.387 -5.842 -0.120 -0.661" Properties=species:S:1:pos:R:3 pbc="T T T"
Ba -8.286 3.631 -5.905
Li -5.570 4.275 -3.863
Li -5.313 1.877 -5.698
Li -7.111 1.735 -3.263
Li -4.100 1.797 -2.922
Cr 0.000 0.000 0.000
```

Properties
Volume (Å³ per cell): 143.8
ΔE_f (eV/atom): 0.35
Size of the total moment (μB per formula unit): 5.768
E (eV/atom): -3.027
SG: No. 216